First-principles (PBE) data for a relaxed structure of CdPO3, as listed in Alexandria via LeMat-Bulk.

## Properties
For the total magnetic moment, the calculation gives 0.00 Bohr magnetons per cell. Its space group is Pm-3m, No. 221. The density of states at the Fermi level is 3.5 states/eV per cell. The uncorrected formation energy comes out at 330 kJ/mol of formula units.

Cell and atoms, written as POSCAR:
```
CdPO3
1.0
4.051 0.000 0.000
0.000 4.051 0.000
0.000 0.000 4.051
Cd P O
1 1 3
direct
0.000 0.000 0.000 Cd
0.500 0.500 0.500 P
0.000 0.000 0.500 O
0.000 0.500 0.000 O
0.500 0.000 0.000 O
```